1.
A plane-wave DFT calculation with PBE was carried out for a relaxed structure of SmMg2GaRh2.

The energy of formation from the pure elements is -1.78 eV per formula unit.

It has space group P4/mmm (No. 123), with a = 4.6491 Å, b = 4.6491 Å, c = 5.9567 Å, α = 90.00°, β = 90.00° and γ = 90.00°. The inequivalent atoms are Sm at (0.0000, 0.0000, 0.0000), Mg at (0.5000, 0.5000, 0.2529), Ga at (0.0000, 0.0000, 0.5000) and Rh at (0.0000, 0.5000, 0.5000).



2.
A plane-wave DFT calculation with PBE was carried out for a relaxed structure of Ti2SbN.

Its formation energy from raw total energies is -0.81 eV/atom. For the offset from the most stable computed form, the calculation gives 203 meV/atom.

It has space group I-42d (No. 122), with a = 6.3204 Å, b = 6.3204 Å, c = 6.6741 Å, α = 90.00°, β = 90.00° and γ = 90.00°. The inequivalent atoms are Ti at (0.1288, 0.2500, 0.1250), Sb at (0.0000, 0.0000, 0.5000) and N at (0.0000, 0.0000, 0.0000).



3.
A plane-wave DFT calculation with PBE was carried out for a relaxed structure of Ca2As3PtRh4.

The energy of formation from the pure elements is -6.88 eV per formula unit.

It has space group P-4m2 (No. 115), with a = 4.2161 Å, b = 4.2161 Å, c = 10.3418 Å, α = 90.00°, β = 90.00° and γ = 90.00°. The inequivalent atoms are Ca at (0.0000, 0.5000, 0.2440), As at (0.0000, 0.0000, 0.0000), As at (0.0000, 0.5000, 0.6316), Pt at (0.5000, 0.5000, 0.0000), Rh at (0.0000, 0.0000, 0.5000), Rh at (0.0000, 0.5000, 0.8596) and Rh at (0.5000, 0.5000, 0.5000).



Repeat the third record exactly.
A plane-wave DFT calculation with PBE was carried out for a relaxed structure of Ca2As3PtRh4.

The energy of formation from the pure elements is -6.88 eV per formula unit.

It has space group P-4m2 (No. 115), with a = 4.2161 Å, b = 4.2161 Å, c = 10.3418 Å, α = 90.00°, β = 90.00° and γ = 90.00°. The inequivalent atoms are Ca at (0.0000, 0.5000, 0.2440), As at (0.0000, 0.0000, 0.0000), As at (0.0000, 0.5000, 0.6316), Pt at (0.5000, 0.5000, 0.0000), Rh at (0.0000, 0.0000, 0.5000), Rh at (0.0000, 0.5000, 0.8596) and Rh at (0.5000, 0.5000, 0.5000).